{
  "formula": "SmTm3Ru3",
  "functional": "PBE",
  "state": "relaxed",
  "dos_ef_per_ev_cell": 2.97,
  "magnetic_moment_mub_per_cell": 0.00,
  "delta_e_f_ev_per_atom": -0.38,
  "cell": [[5.4845, 0.0183, -1.9462], [-2.7235, 4.7085, -1.9272], [-0.0106, 0.0183, 5.8196]],
  "species": ["Sm", "Tm", "Tm", "Tm", "Ru", "Ru", "Ru"],
  "frac_coords": [[0.0000, 0.4161, 0.0000], [0.4157, 0.0030, 0.0000], [0.5843, 0.5873, 0.5843], [0.0000, 0.0030, 0.4157], [0.5011, 0.5056, 0.0000], [0.4989, 0.0045, 0.4989], [0.0000, 0.5056, 0.5011]]
}